1.
Density functional theory data (GGA-PBE) for an optimized crystal structure of CdH2Pb.

Cell and atoms, written as POSCAR:
```
CdH2Pb
1.0
-0.520 -3.393 -2.845
-3.296 -2.938 0.613
-3.480 -0.060 -2.786
Pb H Cd
1 2 1
Direct
0.500 0.500 0.500
0.250 0.250 0.250
0.750 0.750 0.750
0.000 0.000 0.000
```

Summary:
Relative energy among the computed polymorphs ... 0.201 eV/atom
SG ... Fm-3m
Total moment ... 0.00 Bohr magnetons per cell



2.
Density functional theory data (GGA-PBE) for an optimized crystal structure of Cd2H2Pb.

Cell and atoms, written as POSCAR:
```
Cd2H2Pb
1.0
4.847 0.076 0.760
-2.414 4.197 -0.622
1.155 -1.553 7.712
Cd H Pb
2 2 1
Direct
0.629 0.401 0.145
0.371 0.599 0.855
0.009 0.996 0.450
0.991 0.004 0.550
0.000 0.000 0.000
```

Summary:
Relative energy among the computed polymorphs ... 0.000 eV/atom
SG ... P-1
Total moment ... 0.00 Bohr magnetons per cell



3.
Density functional theory data (GGA-PBE) for an optimized crystal structure of CdH2Pb.

Cell and atoms, written as POSCAR:
```
CdH2Pb
1.0
-0.467 2.987 -1.651
-2.694 0.399 -2.110
-4.554 3.277 3.622
Cd H Pb
1 2 1
Direct
0.075 0.075 0.775
0.713 0.713 0.861
0.487 0.487 0.539
0.236 0.236 0.292
```

Summary:
Relative energy among the computed polymorphs ... 0.006 eV/atom
SG ... R3m
Total moment ... 0.00 Bohr magnetons per cell